The following is a GGA-PBE calculation of a relaxed structure of K4CrAs, from Alexandria via LeMat-Bulk.

The calculation puts the energy relative to the elements at 15.837 kcal/mol of atoms. The spin magnetization comes out at 0.9691 μB per atom. The value obtained for the energy is -2.424 eV per atom.

Cell: 9.7080 9.7080 9.7080 Å, 90.00 90.00 90.00°
Space group F-43m (No. 216)
Unique sites:
K: 0.1238 0.1238 0.1238 (multiplicity 16)
Cr: 0.0000 0.0000 0.5000 (multiplicity 4)
As: 0.2500 0.2500 0.7500 (multiplicity 4)